Compound: LiMgPt
Source: Alexandria via LeMat-Bulk
Functional: PBEsol
Structure: relaxed

ΔE to the lowest computed polymorph = 0.366 eV per atom
space-group type = No. 216
total magnetic moment = 0.0 μB/cell

a = 5.7666 Å, b = 5.7666 Å, c = 5.7666 Å
α = 90.00°, β = 90.00°, γ = 90.00°
Closest atoms and distances in Å follow each position.
Atoms (fractional coordinates):
Li  0.0000  0.0000  0.0000  4 Mg 2.50, 4 Pt 2.50
Li  0.0000  0.5000  0.5000  4 Mg 2.50, 4 Pt 2.50
Li  0.5000  0.0000  0.5000  4 Mg 2.50, 4 Pt 2.50
Li  0.5000  0.5000  0.0000  4 Mg 2.50, 4 Pt 2.50
Mg  0.2500  0.2500  0.7500  4 Li 2.50
Mg  0.2500  0.7500  0.2500  4 Li 2.50
Mg  0.7500  0.2500  0.2500  4 Li 2.50
Mg  0.7500  0.7500  0.7500  4 Li 2.50
Pt  0.2500  0.2500  0.2500  4 Li 2.50
Pt  0.2500  0.7500  0.7500  4 Li 2.50
Pt  0.7500  0.2500  0.7500  4 Li 2.50
Pt  0.7500  0.7500  0.2500  4 Li 2.50


Compound: LiMg2Pt2
Source: Alexandria via LeMat-Bulk
Functional: PBEsol
Structure: relaxed

DFT total energy = -4.49 eV/atom
space-group type = No. 127
total magnetic moment = 0.0 μB/cell

a = 7.6117 Å, b = 7.6117 Å, c = 2.8873 Å
α = 90.00°, β = 90.00°, γ = 90.00°
Closest atoms and distances in Å follow each position.
Atoms (fractional coordinates):
Li  0.0000  0.0000  0.0000  2 Li 2.89, 4 Pt 2.92, 8 Mg 3.23
Li  0.5000  0.5000  0.0000  2 Li 2.89, 4 Pt 2.92, 8 Mg 3.23
Mg  0.1519  0.3481  0.5000  6 Pt 2.62-2.68, 2 Mg 2.89
Mg  0.3481  0.8481  0.5000  6 Pt 2.62-2.68, 2 Mg 2.89
Mg  0.6519  0.1519  0.5000  6 Pt 2.62-2.68, 2 Mg 2.89
Mg  0.8481  0.6519  0.5000  6 Pt 2.62-2.68, 2 Mg 2.89
Pt  0.1448  0.6448  0.0000  6 Mg 2.62-2.68, 2 Pt 2.89, 2 Li 2.92
Pt  0.3552  0.1448  0.0000  6 Mg 2.62-2.68, 2 Pt 2.89, 2 Li 2.92
Pt  0.6448  0.8552  0.0000  6 Mg 2.62-2.68, 2 Pt 2.89, 2 Li 2.92
Pt  0.8552  0.3552  0.0000  6 Mg 2.62-2.68, 2 Pt 2.89, 2 Li 2.92


Compound: Li2MgPt
Source: Alexandria via LeMat-Bulk
Functional: PBEsol
Structure: relaxed

DFT total energy = -3.59 eV/atom
space-group type = No. 71
total magnetic moment = 0.0 μB/cell

a = 2.9753 Å, b = 4.4781 Å, c = 9.3394 Å
α = 90.00°, β = 90.00°, γ = 90.00°
Closest atoms and distances in Å follow each position.
Atoms (fractional coordinates):
Li  0.0000  0.0000  0.2248  2 Pt 2.57, 4 Li 2.73
Li  0.0000  0.0000  0.7752  2 Pt 2.57, 4 Li 2.73
Li  0.5000  0.5000  0.2752  2 Pt 2.57, 4 Li 2.73
Li  0.5000  0.5000  0.7248  2 Pt 2.57, 4 Li 2.73
Mg  0.0000  0.5000  0.0000  4 Pt 2.69, 4 Li 2.97, 2 Mg 2.98
Mg  0.5000  0.0000  0.5000  4 Pt 2.69, 4 Li 2.97, 2 Mg 2.98
Pt  0.0000  0.5000  0.5000  4 Li 2.57, 4 Mg 2.69
Pt  0.5000  0.0000  0.0000  4 Li 2.57, 4 Mg 2.69


Compound: LiMgPt2
Source: Alexandria via LeMat-Bulk
Functional: PBEsol
Structure: relaxed

DFT total energy = -5.05 eV/atom
space-group type = No. 47
total magnetic moment = 0.0 μB/cell

a = 2.8358 Å, b = 3.5463 Å, c = 5.6539 Å
α = 90.00°, β = 90.00°, γ = 90.00°
Closest atoms and distances in Å follow each position.
Atoms (fractional coordinates):
Li  0.0000  0.0000  0.0000  8 Pt 2.65, 2 Mg 2.83, 2 Li 2.84
Mg  0.0000  0.0000  0.5000  8 Pt 2.70, 2 Li 2.83, 2 Mg 2.84
Pt  0.5000  0.5000  0.2406  4 Li 2.65, 4 Mg 2.70, 4 Pt 2.72-2.93
Pt  0.5000  0.5000  0.7594  4 Li 2.65, 4 Mg 2.70, 4 Pt 2.72-2.93


Compound: Li2MgPt
Source: Alexandria via LeMat-Bulk
Functional: PBEsol
Structure: relaxed

DFT total energy = -3.59 eV/atom
space-group type = No. 12
total magnetic moment = 0.0 μB/cell

a = 9.5984 Å, b = 2.9482 Å, c = 4.5378 Å
α = 90.00°, β = 106.57°, γ = 90.00°
Closest atoms and distances in Å follow each position.
Atoms (fractional coordinates):
Li  0.2296  0.0000  0.2164  2 Li 2.57, 2 Pt 2.60, 1 Mg 2.85
Li  0.2704  0.5000  0.7836  2 Li 2.57, 2 Pt 2.60, 1 Mg 2.85
Li  0.7296  0.5000  0.2164  2 Li 2.57, 2 Pt 2.60, 1 Mg 2.85
Li  0.7704  0.0000  0.7836  2 Li 2.57, 2 Pt 2.60, 1 Mg 2.85
Mg  0.0000  0.0000  0.5000  4 Pt 2.71, 6 Li 2.85-2.94, 2 Mg 2.95
Mg  0.5000  0.5000  0.5000  4 Pt 2.71, 6 Li 2.85-2.94, 2 Mg 2.95
Pt  0.0000  0.5000  0.0000  4 Li 2.60, 4 Mg 2.71
Pt  0.5000  0.0000  0.0000  4 Li 2.60, 4 Mg 2.71


Compound: LiMgPt2
Source: Alexandria via LeMat-Bulk
Functional: PBEsol
Structure: relaxed

DFT total energy = -4.91 eV/atom
space-group type = No. 166
total magnetic moment = 0.0 μB/cell

a = 2.8266 Å, b = 2.8266 Å, c = 25.4515 Å
α = 90.00°, β = 90.00°, γ = 120.00°
Closest atoms and distances in Å follow each position.
Atoms (fractional coordinates):
Li  0.0000  0.0000  0.0000  6 Pt 2.67, 6 Li 2.83
Li  0.3333  0.6667  0.6667  6 Pt 2.67, 6 Li 2.83
Li  0.6667  0.3333  0.3333  6 Pt 2.67, 6 Li 2.83
Mg  0.0000  0.0000  0.5000  6 Pt 2.69, 6 Mg 2.83
Mg  0.3333  0.6667  0.1667  6 Pt 2.69, 6 Mg 2.83
Mg  0.6667  0.3333  0.8333  6 Pt 2.69, 6 Mg 2.83
Pt  0.0000  0.0000  0.2505  3 Li 2.67, 3 Mg 2.69, 6 Pt 2.83
Pt  0.0000  0.0000  0.7495  3 Li 2.67, 3 Mg 2.69, 6 Pt 2.83
Pt  0.3333  0.6667  0.4161  3 Li 2.67, 3 Mg 2.69, 6 Pt 2.83
Pt  0.3333  0.6667  0.9172  3 Li 2.67, 3 Mg 2.69, 6 Pt 2.83
Pt  0.6667  0.3333  0.0828  3 Li 2.67, 3 Mg 2.69, 6 Pt 2.83
Pt  0.6667  0.3333  0.5839  3 Li 2.67, 3 Mg 2.69, 6 Pt 2.83


Compound: Li2MgPt
Source: Alexandria via LeMat-Bulk
Functional: PBEsol
Structure: relaxed

DFT total energy = -3.58 eV/atom
space-group type = No. 139
total magnetic moment = 0.0 μB/cell

a = 3.9249 Å, b = 3.9249 Å, c = 7.6457 Å
α = 90.00°, β = 90.00°, γ = 90.00°
Closest atoms and distances in Å follow each position.
Atoms (fractional coordinates):
Li  0.0000  0.5000  0.2500  4 Mg 2.74, 4 Pt 2.74, 4 Li 2.78
Li  0.0000  0.5000  0.7500  4 Mg 2.74, 4 Pt 2.74, 4 Li 2.78
Li  0.5000  0.0000  0.2500  4 Mg 2.74, 4 Pt 2.74, 4 Li 2.78
Li  0.5000  0.0000  0.7500  4 Mg 2.74, 4 Pt 2.74, 4 Li 2.78
Mg  0.0000  0.0000  0.0000  8 Li 2.74, 4 Pt 2.78
Mg  0.5000  0.5000  0.5000  8 Li 2.74, 4 Pt 2.78
Pt  0.0000  0.0000  0.5000  8 Li 2.74, 4 Mg 2.78
Pt  0.5000  0.5000  0.0000  8 Li 2.74, 4 Mg 2.78


Compound: LiMgPt
Source: Alexandria via LeMat-Bulk
Functional: PBEsol
Structure: relaxed

ΔE to the lowest computed polymorph = 0.055 eV per atom
space-group type = No. 107
total magnetic moment = 0.0 μB/cell

a = 3.2410 Å, b = 3.2410 Å, c = 8.5433 Å
α = 90.00°, β = 90.00°, γ = 90.00°
Closest atoms and distances in Å follow each position.
Atoms (fractional coordinates):
Li  0.0000  0.0000  0.0000  4 Pt 2.60, 5 Mg 2.65-2.81
Li  0.5000  0.5000  0.5000  4 Pt 2.60, 5 Mg 2.65-2.81
Mg  0.0000  0.0000  0.3103  5 Li 2.65-2.81, 5 Pt 2.70-2.85
Mg  0.5000  0.5000  0.8103  5 Li 2.65-2.81, 5 Pt 2.70-2.85
Pt  0.0000  0.0000  0.6442  4 Li 2.60, 5 Mg 2.70-2.85
Pt  0.5000  0.5000  0.1442  4 Li 2.60, 5 Mg 2.70-2.85


Compound: LiMgPt4
Source: Alexandria via LeMat-Bulk
Functional: PBEsol
Structure: relaxed

DFT total energy = -5.74 eV/atom
space-group type = No. 216
total magnetic moment = 0.0 μB/cell

a = 5.2152 Å, b = 5.2152 Å, c = 5.2152 Å
α = 60.00°, β = 60.00°, γ = 60.00°
Closest atoms and distances in Å follow each position.
Atoms (fractional coordinates):
Li  0.0000  0.0000  0.0000  12 Pt 3.06, 4 Mg 3.19
Mg  0.7500  0.7500  0.7500  12 Pt 3.06, 4 Li 3.19
Pt  0.3749  0.3749  0.3749  6 Pt 2.61
Pt  0.3749  0.3749  0.8753  6 Pt 2.61
Pt  0.3749  0.8753  0.3749  6 Pt 2.61
Pt  0.8753  0.3749  0.3749  6 Pt 2.61


Compound: LiMgPt2
Source: Alexandria via LeMat-Bulk
Functional: PBEsol
Structure: relaxed

DFT total energy = -5.03 eV/atom
space-group type = No. 123
total magnetic moment = 0.0 μB/cell

a = 2.8496 Å, b = 2.8496 Å, c = 6.9109 Å
α = 90.00°, β = 90.00°, γ = 90.00°
Closest atoms and distances in Å follow each position.
Atoms (fractional coordinates):
Li  0.0000  0.0000  0.0000  8 Pt 2.60, 4 Li 2.85
Mg  0.0000  0.0000  0.5000  8 Pt 2.71, 4 Mg 2.85
Pt  0.5000  0.5000  0.2373  4 Li 2.60, 4 Mg 2.71, 4 Pt 2.85
Pt  0.5000  0.5000  0.7627  4 Li 2.60, 4 Mg 2.71, 4 Pt 2.85


Compound: Li3MgPt
Source: Alexandria via LeMat-Bulk
Functional: PBEsol
Structure: relaxed

DFT total energy = -2.92 eV/atom
space-group type = No. 221
total magnetic moment = 0.0 μB/cell

a = 4.6695 Å, b = 4.6695 Å, c = 4.6695 Å
α = 90.00°, β = 90.00°, γ = 90.00°
Closest atoms and distances in Å follow each position.
Atoms (fractional coordinates):
Li  0.0000  0.0000  0.5000  2 Pt 2.33
Li  0.0000  0.5000  0.0000  2 Pt 2.33
Li  0.5000  0.0000  0.0000  2 Pt 2.33
Mg  0.5000  0.5000  0.5000  12 Li 3.30
Pt  0.0000  0.0000  0.0000  6 Li 2.33


Compound: Li2MgPt
Source: Alexandria via LeMat-Bulk
Functional: PBEsol
Structure: relaxed

DFT total energy = -3.64 eV/atom
space-group type = No. 119
total magnetic moment = 0.0 μB/cell

a = 4.3959 Å, b = 4.3959 Å, c = 6.1965 Å
α = 90.00°, β = 90.00°, γ = 90.00°
Closest atoms and distances in Å follow each position.
Atoms (fractional coordinates):
Li  0.0000  0.0000  0.0000  4 Li 2.69, 4 Mg 2.69
Li  0.0000  0.5000  0.2500  4 Li 2.69, 4 Pt 2.69
Li  0.5000  0.0000  0.7500  4 Li 2.69, 4 Pt 2.69
Li  0.5000  0.5000  0.5000  4 Li 2.69, 4 Mg 2.69
Mg  0.0000  0.5000  0.7500  4 Li 2.69, 4 Pt 2.69
Mg  0.5000  0.0000  0.2500  4 Li 2.69, 4 Pt 2.69
Pt  0.0000  0.0000  0.5000  4 Li 2.69, 4 Mg 2.69
Pt  0.5000  0.5000  0.0000  4 Li 2.69, 4 Mg 2.69


Compound: LiMgPt
Source: Alexandria via LeMat-Bulk
Functional: PBEsol
Structure: relaxed

ΔE to the lowest computed polymorph = 0.000 eV per atom
space-group type = No. 44
total magnetic moment = 0.0 μB/cell

a = 2.8714 Å, b = 3.8380 Å, c = 8.1046 Å
α = 90.00°, β = 90.00°, γ = 90.00°
Closest atoms and distances in Å follow each position.
Atoms (fractional coordinates):
Li  0.0000  0.0000  0.0000  5 Mg 2.58-2.82, 5 Pt 2.71-2.78, 2 Li 2.87
Li  0.5000  0.5000  0.5000  5 Mg 2.58-2.82, 5 Pt 2.71-2.78, 2 Li 2.87
Mg  0.0000  0.0000  0.6822  5 Li 2.58-2.82, 5 Pt 2.73-2.75, 2 Mg 2.87
Mg  0.5000  0.5000  0.1822  5 Li 2.58-2.82, 5 Pt 2.73-2.75, 2 Mg 2.87
Pt  0.0000  0.0000  0.3429  5 Li 2.71-2.78, 5 Mg 2.73-2.75, 2 Pt 2.87
Pt  0.5000  0.5000  0.8429  5 Li 2.71-2.78, 5 Mg 2.73-2.75, 2 Pt 2.87


Compound: LiMgPt
Source: Alexandria via LeMat-Bulk
Functional: PBEsol
Structure: relaxed

ΔE to the lowest computed polymorph = 0.002 eV per atom
space-group type = No. 156
total magnetic moment = 0.0 μB/cell

a = 4.2571 Å, b = 4.2571 Å, c = 2.8128 Å
α = 90.00°, β = 90.00°, γ = 120.00°
Closest atoms and distances in Å follow each position.
Atoms (fractional coordinates):
Li  0.0000  0.0000  0.0000  3 Pt 2.57, 3 Mg 2.61, 2 Li 2.81
Mg  0.6667  0.3333  0.3170  3 Li 2.61, 3 Pt 2.73, 2 Mg 2.81
Pt  0.3333  0.6667  0.7369  3 Li 2.57, 3 Mg 2.73, 2 Pt 2.81


Compound: LiMgPt2
Source: Alexandria via LeMat-Bulk
Functional: PBEsol
Structure: relaxed

DFT total energy = -4.93 eV/atom
space-group type = No. 6
total magnetic moment = 0.0 μB/cell

a = 2.7107 Å, b = 4.2060 Å, c = 5.2312 Å
α = 90.00°, β = 104.88°, γ = 90.00°
Closest atoms and distances in Å follow each position.
Atoms (fractional coordinates):
Li  0.0000  0.0000  0.0000  5 Pt 2.49-2.68, 2 Mg 2.56, 2 Li 2.71
Mg  0.1415  0.5000  0.2880  2 Li 2.56, 7 Pt 2.66-2.76, 2 Mg 2.71
Pt  0.4061  0.5000  0.8132  3 Mg 2.66-2.76, 4 Li 2.67-2.68, 6 Pt 2.71-2.94
Pt  0.7516  0.0000  0.5078  1 Li 2.49, 2 Pt 2.71, 4 Mg 2.74